DFT (GGA-PBE) results for a relaxed La5Tb6Dy2 crystal.

Computed properties:
- Final energy: -4.649 eV per atom
- Symmetry: No. 55

Geometry as CIF:
```
data_La5Tb6Dy2
_chemical_formula_sum 'La10 Tb12 Dy4'
_space_group_name_H-M_alt 'P 1'
_space_group_IT_number 1
_cell_length_a 3.642
_cell_length_b 11.744
_cell_length_c 20.836
_cell_angle_alpha 90.00
_cell_angle_beta 90.00
_cell_angle_gamma 90.00
loop_
_space_group_symop_operation_xyz
'x,y,z'
loop_
_atom_site_label
_atom_site_type_symbol
_atom_site_fract_x
_atom_site_fract_y
_atom_site_fract_z
_atom_site_occupancy
La1 La 0.500 0.301 0.450 1
La2 La 0.500 0.699 0.550 1
La3 La 0.500 0.801 0.050 1
La4 La 0.500 0.199 0.950 1
La5 La 0.500 0.579 0.272 1
La6 La 0.500 0.421 0.728 1
La7 La 0.500 0.079 0.228 1
La8 La 0.500 0.921 0.772 1
La9 La 0.500 0.500 0.000 1
La10 La 0.500 0.000 0.500 1
Tb1 Tb 0.000 0.079 0.368 1
Tb2 Tb 0.000 0.921 0.632 1
Tb3 Tb 0.000 0.579 0.132 1
Tb4 Tb 0.000 0.421 0.868 1
Tb5 Tb 0.500 0.323 0.139 1
Tb6 Tb 0.500 0.677 0.861 1
Tb7 Tb 0.500 0.823 0.361 1
Tb8 Tb 0.500 0.177 0.639 1
Tb9 Tb 0.000 0.562 0.419 1
Tb10 Tb 0.000 0.438 0.581 1
Tb11 Tb 0.000 0.062 0.081 1
Tb12 Tb 0.000 0.938 0.919 1
Dy1 Dy 0.000 0.325 0.289 1
Dy2 Dy 0.000 0.675 0.711 1
Dy3 Dy 0.000 0.825 0.211 1
Dy4 Dy 0.000 0.175 0.789 1
```